Material: MnBe2PtBr
Method: DFT, PBE-GGA
State: relaxed

Lattice parameters (Å, degrees): 4.3261 4.3261 5.2293 90.00 90.00 90.00
With the nearest neighbours (Å) after each atom.
Space group P4/mmm (No. 123)
Asymmetric unit:
1 Mn 0.0000 0.0000 0.0000 x1  2 Pt 2.61
2 Be 0.0000 0.5000 0.5000 x2  2 Pt 2.16
3 Pt 0.0000 0.0000 0.5000 x1  4 Be 2.16
4 Br 0.5000 0.5000 0.0000 x1  4 Mn 3.06, 8 Be 3.39

## Properties
* Fermi-level density of states: 2.06 states/eV per cell
* total magnetization: 4.54 μB/cell
* raw total energy: -23.0 eV for the cell shown
* formation energy without anion corrections: 0.2752 eV per atom